Compound: Cd2CuHRh
Source: Alexandria via LeMat-Bulk
Functional: PBE
Structure: relaxed

a = 4.672 Å, b = 4.672 Å, c = 3.263 Å
α = 90.00°, β = 90.00°, γ = 90.00°
Space group P4/mmm (No. 123)
One atom of each set of equivalent atoms:
Cd1 0.000 0.500 0.000 x2
Cu1 0.000 0.000 0.500 x1
H1 0.000 0.000 0.000 x1
Rh1 0.500 0.500 0.500 x1

Output
- Total magnetic moment: 0.0 μB/f.u.
- E above lowest polymorph: 2.00 kcal/mol of atoms
- Total DFT energy (no corrections): -3.21 eV/atom